[1]
Computed, not measured: KHg5 after structural relaxation at the GGA-PBE level of DFT.

Cell: 6.2412 6.2412 5.5954 Å, 90.00 90.00 120.00°
Sites, in units of the cell vectors:
K 0.0000 0.0000 0.0000
Hg 0.0000 0.5000 0.5000
Hg 0.3333 0.6667 0.0000
Hg 0.5000 0.0000 0.5000
Hg 0.5000 0.5000 0.5000
Hg 0.6667 0.3333 0.0000

Output
Offset from the most stable computed form, eV/atom: 0.021
ΔH_f (0 K), kcal/mol of atoms: -3.50
SG: P6/mmm (191)

---

[2]
Computed, not measured: K3Hg2 after structural relaxation at the GGA-PBE level of DFT.

Cell: 7.0035 7.0035 7.0035 Å, 134.68 112.62 84.97°
Sites, in units of the cell vectors:
K 0.0000 0.0000 0.0000
K 0.2951 0.7951 0.5000
K 0.7049 0.2049 0.5000
Hg 0.3078 0.5000 0.8078
Hg 0.6922 0.5000 0.1922

Output
Offset from the most stable computed form, eV/atom: 0.000
ΔH_f (0 K), kcal/mol of atoms: -4.56
SG: Immm (71)